# 1
The following is a DFT calculation (SCAN) of a PBEsol-optimized structure of PmTmMg2.

Cell lengths 5.310, 5.310, 5.310 Å; angles 60.00, 60.00, 60.00 degrees
Atoms (fractional coordinates):
Mg: 0.750 0.750 0.750
Mg: 0.250 0.250 0.250
Tm: 0.000 0.000 0.000
Pm: 0.500 0.500 0.500

Values from the calculation:
Total magnetic moment   0.0 Bohr magnetons per cell
Energy of formation   -8 kJ per mole of atoms
D(E_F)   4.2 states/eV/f.u.

---

# 2
The following is a DFT calculation (SCAN) of a PBEsol-optimized structure of KLiS2I.

Cell lengths 4.858, 5.447, 5.447 Å; angles 90.00, 90.00, 90.00 degrees
Atoms (fractional coordinates):
S: 0.000 0.500 0.000
S: 0.000 0.000 0.500
Li: 0.500 0.000 0.000
I: 0.000 0.000 0.000
K: 0.500 0.500 0.500

Values from the calculation:
Total magnetic moment   0.0 Bohr magnetons per cell
Formation energy from raw total energies   -0.345 eV per atom
D(E_F)   1.8 states/eV/f.u.

---

# 3
The following is a DFT calculation (SCAN) of a PBEsol-optimized structure of ZrAg2Se.

Cell lengths 3.369, 4.960, 5.227 Å; angles 111.51, 90.00, 109.85 degrees
Atoms (fractional coordinates):
Zr: 0.778 0.556 0.330
Se: 0.515 0.031 0.410
Ag: 0.226 0.451 0.804
Ag: 0.981 0.962 0.956

Values from the calculation:
Total magnetic moment   0.0 Bohr magnetons per cell
Formation energy from raw total energies   -0.256 eV per atom
D(E_F)   1.9 states/eV/f.u.